[1]
A plane-wave DFT calculation with PBE-GGA was carried out for crystalline SrCaZnAu at its relaxed geometry.

Results
- V: 114.1 Å³/cell
- Total energy: -2.58 eV per atom
- Total moment: 0.000 μB per formula unit
- DFT formation energy: -0.52 eV per atom

Cell lengths 4.308, 4.609, 6.136 Å; angles 90.00, 110.55, 90.00 degrees
Sites, in units of the cell vectors:
Sr 0.145 0.000 0.291
Ca 0.861 0.500 0.722
Zn 0.432 0.000 0.863
Au 0.562 0.500 0.124

[2]
A plane-wave DFT calculation with PBE-GGA was carried out for crystalline SrCaZn2Au2 at its relaxed geometry.

Results
- V: 144.0 Å³/cell
- Total energy: -2.73 eV per atom
- Total moment: 0.000 μB per formula unit
- DFT formation energy: -0.60 eV per atom

Cell lengths 4.594, 4.594, 7.880 Å; angles 90.00, 90.00, 120.00 degrees
Sites, in units of the cell vectors:
Sr 0.000 0.000 0.000
Ca 0.000 0.000 0.500
Zn 0.667 0.333 0.725
Zn 0.333 0.667 0.275
Au 0.667 0.333 0.274
Au 0.333 0.667 0.726

[3]
A plane-wave DFT calculation with PBE-GGA was carried out for crystalline SrCaZnAu at its relaxed geometry.

Results
- V: 106.9 Å³/cell
- Total energy: -2.52 eV per atom
- Total moment: 0.000 μB per formula unit
- DFT formation energy: -0.46 eV per atom

Cell lengths 5.328, 5.328, 5.328 Å; angles 60.00, 60.00, 60.00 degrees
Sites, in units of the cell vectors:
Sr 0.250 0.250 0.250
Zn 0.000 0.000 0.000
Au 0.500 0.500 0.500
Ca 0.750 0.750 0.750

[4]
A plane-wave DFT calculation with PBE-GGA was carried out for crystalline SrCaZrAu2 at its relaxed geometry.

Results
- V: 164.8 Å³/cell
- Total energy: -2.98 eV per atom
- Total moment: 1.368 μB per formula unit
- DFT formation energy: 0.78 eV per atom

Cell lengths 5.482, 5.483, 5.482 Å; angles 90.00, 90.00, 90.00 degrees
Sites, in units of the cell vectors:
Sr 0.000 0.000 0.000
Ca 0.500 0.500 0.500
Au 0.000 0.000 0.500
Au 0.500 0.000 0.000
Zr 0.000 0.500 0.000

[5]
A plane-wave DFT calculation with PBE-GGA was carried out for crystalline CaTa2Au at its relaxed geometry.

Results
- V: 79.7 Å³/cell
- Total energy: -6.81 eV per atom
- Total moment: 0.446 μB per formula unit
- DFT formation energy: 0.43 eV per atom

Cell lengths 4.830, 4.828, 4.830 Å; angles 119.91, 119.93, 90.15 degrees
Sites, in units of the cell vectors:
Ca 0.750 0.250 0.500
Au 0.500 0.500 0.000
Ta 0.000 0.000 0.000
Ta 0.250 0.750 0.500

[6]
A plane-wave DFT calculation with PBE-GGA was carried out for crystalline CaTaAu at its relaxed geometry.

Results
- V: 140.7 Å³/cell
- Total energy: -5.85 eV per atom
- Total moment: 0.000 μB per formula unit
- DFT formation energy: -0.14 eV per atom

Cell lengths 3.418, 12.040, 3.418 Å; angles 90.00, 90.00, 90.01 degrees
Sites, in units of the cell vectors:
Ca 0.152 0.990 0.412
Ca 0.652 0.714 0.912
Au 0.652 0.153 0.912
Au 0.152 0.550 0.412
Ta 0.152 0.292 0.412
Ta 0.652 0.411 0.912

[7]
A plane-wave DFT calculation with PBE-GGA was carried out for crystalline CaTaAu at its relaxed geometry.

Results
- V: 131.7 Å³/cell
- Total energy: -5.85 eV per atom
- Total moment: 0.000 μB per formula unit
- DFT formation energy: -0.14 eV per atom

Cell lengths 3.355, 8.532, 4.690 Å; angles 90.00, 90.00, 78.75 degrees
Sites, in units of the cell vectors:
Ca 0.678 0.999 0.912
Ca 0.829 0.704 0.412
Au 0.143 0.071 0.412
Au 0.365 0.632 0.912
Ta 0.512 0.335 0.412
Ta 0.995 0.368 0.912

[8]
A plane-wave DFT calculation with PBE-GGA was carried out for crystalline CaTaAu at its relaxed geometry.

Results
- V: 272.2 Å³/cell
- Total energy: -5.79 eV per atom
- Total moment: 0.000 μB per formula unit
- DFT formation energy: -0.08 eV per atom

Cell lengths 8.511, 3.559, 8.986 Å; angles 90.00, 90.00, 90.00 degrees
Sites, in units of the cell vectors:
Ca 0.058 0.250 0.827
Ca 0.442 0.750 0.327
Ca 0.942 0.750 0.173
Ca 0.558 0.250 0.673
Au 0.733 0.250 0.356
Au 0.767 0.750 0.856
Au 0.267 0.750 0.644
Au 0.233 0.250 0.144
Ta 0.107 0.250 0.453
Ta 0.393 0.750 0.953
Ta 0.893 0.750 0.547
Ta 0.607 0.250 0.047

[9]
A plane-wave DFT calculation with PBE-GGA was carried out for crystalline CaTa2Au at its relaxed geometry.

Results
- V: 83.3 Å³/cell
- Total energy: -6.97 eV per atom
- Total moment: 0.000 μB per formula unit
- DFT formation energy: 0.27 eV per atom

Cell lengths 5.443, 5.443, 5.824 Å; angles 68.04, 68.04, 31.58 degrees
Sites, in units of the cell vectors:
Ca 0.221 0.221 0.339
Au 0.473 0.473 0.402
Ta 0.028 0.028 0.935
Ta 0.777 0.777 0.823

[10]
A plane-wave DFT calculation with PBE-GGA was carried out for crystalline Ca2Ta4Au at its relaxed geometry.

Results
- V: 201.3 Å³/cell
- Total energy: -6.03 eV per atom
- Total moment: 2.229 μB per formula unit
- DFT formation energy: 1.78 eV per atom

Cell lengths 4.949, 4.949, 8.932 Å; angles 73.92, 73.92, 90.00 degrees
Sites, in units of the cell vectors:
Ca 0.644 0.644 0.711
Ca 0.356 0.356 0.289
Au 0.000 0.000 0.000
Ta 0.845 0.845 0.310
Ta 0.155 0.155 0.690
Ta 0.000 0.500 0.000
Ta 0.500 0.000 0.000

[11]
A plane-wave DFT calculation with PBE-GGA was carried out for crystalline CaTaAu at its relaxed geometry.

Results
- V: 139.4 Å³/cell
- Total energy: -5.68 eV per atom
- Total moment: 0.000 μB per formula unit
- DFT formation energy: 0.03 eV per atom

Cell lengths 7.758, 3.149, 5.989 Å; angles 105.26, 81.12, 90.01 degrees
Sites, in units of the cell vectors:
Ca 0.632 0.199 0.150
Ca 0.953 0.442 0.636
Au 0.957 0.713 0.177
Au 0.287 0.830 0.411
Ta 0.467 0.477 0.705
Ta 0.248 0.124 0.000

[12]
A plane-wave DFT calculation with PBE-GGA was carried out for crystalline CaTaAu2 at its relaxed geometry.

Results
- V: 93.4 Å³/cell
- Total energy: -5.12 eV per atom
- Total moment: 0.000 μB per formula unit
- DFT formation energy: -0.02 eV per atom

Cell lengths 4.542, 4.542, 6.540 Å; angles 77.60, 77.60, 45.37 degrees
Sites, in units of the cell vectors:
Ca 0.250 0.250 0.250
Au 0.014 0.014 0.936
Au 0.486 0.486 0.564
Ta 0.750 0.750 0.750